Entry 1:
{"formula": "V6GaAu", "functional": "PBE-GGA", "state": "optimized geometry", "final_energy_ev_per_cell": -122.82, "space_group": "No. 12", "formation_energy_mev_per_atom": -49, "magmom_total_mub_per_fu": 0.0, "lattice": [[5.321, 0.000, 0.000], [0.000, 8.730, 0.000], [-1.644, 0.000, 4.825]], "species": ["V", "V", "V", "V", "V", "V", "V", "V", "V", "V", "V", "V", "Ga", "Ga", "Au", "Au"], "frac_coords": [[0.000, 0.000, 0.000], [0.000, 0.000, 0.500], [0.247, 0.252, 0.243], [0.247, 0.748, 0.243], [0.253, 0.248, 0.757], [0.253, 0.752, 0.757], [0.500, 0.500, 0.000], [0.500, 0.500, 0.500], [0.747, 0.248, 0.243], [0.747, 0.752, 0.243], [0.753, 0.252, 0.757], [0.753, 0.748, 0.757], [0.000, 0.500, 0.000], [0.500, 0.000, 0.000], [0.000, 0.500, 0.500], [0.500, 0.000, 0.500]]}



Entry 2:
{"formula": "V2Ga4Au", "functional": "PBE-GGA", "state": "optimized geometry", "final_energy_ev_per_cell": -60.43, "space_group": "No. 139", "formation_energy_mev_per_atom": 487, "magmom_total_mub_per_fu": 0.0, "lattice": [[4.930, 0.000, 0.000], [0.000, 4.930, 0.000], [0.000, 0.000, 12.638]], "species": ["V", "V", "V", "V", "Ga", "Ga", "Ga", "Ga", "Ga", "Ga", "Ga", "Ga", "Au", "Au"], "frac_coords": [[0.000, 0.000, 0.082], [0.000, 0.000, 0.918], [0.500, 0.500, 0.418], [0.500, 0.500, 0.582], [0.000, 0.000, 0.291], [0.000, 0.000, 0.709], [0.000, 0.500, 0.000], [0.000, 0.500, 0.500], [0.500, 0.000, 0.000], [0.500, 0.000, 0.500], [0.500, 0.500, 0.209], [0.500, 0.500, 0.791], [0.000, 0.000, 0.500], [0.500, 0.500, 0.000]]}



Entry 3:
{"formula": "VGaAu3", "functional": "PBE-GGA", "state": "optimized geometry", "final_energy_ev_per_cell": -18.52, "space_group": "No. 221", "formation_energy_mev_per_atom": 691, "magmom_total_mub_per_fu": 2.6, "relative_energy_ev_per_atom": 0.112, "lattice": [[5.027, 0.000, 0.000], [0.000, 5.027, 0.000], [0.000, 0.000, 5.027]], "species": ["V", "Ga", "Au", "Au", "Au"], "frac_coords": [[0.000, 0.000, 0.000], [0.500, 0.500, 0.500], [0.000, 0.000, 0.500], [0.000, 0.500, 0.000], [0.500, 0.000, 0.000]]}